28
Lattice="-9.709 -0.318 -7.328 10.142 0.332 -6.716 0.109 -9.937 7.022" Properties=species:S:1:pos:R:3 comment="PBE-GGA Ba3GeI3, relaxed" raw_formation_energy_ev_per_atom=-1.30 density_g_cm3=4.144 dos_ef_per_ev_atom=0.57 energy_ev_per_atom=-3.4477 volume_a3_per_atom=49.5 crystal_system=cubic pbc="T T T"
Ba -4.534 -2.550 -8.810
Ba -4.738 -2.723 -2.024
Ba -2.289 -4.962 1.564
Ba -2.020 -0.149 -12.245
Ba -7.125 -5.037 -5.496
Ba -7.276 -0.405 -5.496
Ba -2.246 -4.960 -5.228
Ba 0.269 -2.393 -8.898
Ba -2.396 -0.162 -5.463
Ba 0.051 -2.567 -1.640
Ba -4.499 -7.603 -1.904
Ba 0.132 -7.451 -1.761
Ge -2.211 -0.072 -8.854
Ge -2.265 -5.044 -1.832
Ge -4.719 -2.639 -5.420
Ge 0.027 -2.484 1.755
I 7.823 -9.674 -1.526
I 0.411 -7.437 -5.274
I 2.865 -9.841 -1.672
I 2.639 -9.849 5.335
I 5.196 -2.315 -5.114
I 0.254 -2.477 -5.266
I 0.195 -7.454 1.763
I 2.704 -4.887 -1.686
I 2.909 -4.880 -8.694
I 5.147 -7.292 1.901
I 7.661 -4.730 -1.526
I 5.363 -7.275 -5.106